# PBE Mg5Au6, relaxed
# * volume: 18.68 A^3/atom
# * energy of formation from the pure elements: -0.52 eV per atom
# * total moment: 0.000 μB/atom
# * calculated density: 10.5 g cm⁻³
# * total energy: -3.03 eV/atom
# * crystal system: monoclinic
data_Mg5Au6
_chemical_formula_sum 'Mg10 Au12'
_symmetry_space_group_name_H-M 'C 1 2/m 1'
_symmetry_Int_Tables_number 12
_cell_length_a 14.375
_cell_length_b 6.462
_cell_length_c 4.646
_cell_angle_alpha 90.00
_cell_angle_beta 107.75
_cell_angle_gamma 90.00
loop_
_symmetry_equiv_pos_as_xyz
'x,y,z'
'-x,-y,-z'
'-x,y,-z'
'x,-y,z'
'x+1/2,y+1/2,z'
'-x+1/2,-y+1/2,-z'
'-x+1/2,y+1/2,-z'
'x+1/2,-y+1/2,z'
loop_
_atom_site_label
_atom_site_type_symbol
_atom_site_fract_x
_atom_site_fract_y
_atom_site_fract_z
_atom_site_occupancy
Mg1 Mg 0.000 0.000 0.000 1
Mg2 Mg 0.164 0.000 0.667 1
Mg3 Mg 0.178 0.500 0.682 1
Au1 Au 0.000 0.268 0.500 1
Au2 Au 0.154 0.269 0.159 1

---

# PBE Pm8NdHo2, relaxed
# * volume: 34.47 A^3/atom
# * energy of formation from the pure elements: 0.14 eV per atom
# * total moment: 0.000 μB/atom
# * calculated density: 7.2 g cm⁻³
# * total energy: -4.58 eV/atom
# * crystal system: monoclinic
# * excess energy over the best structure of this formula in the dataset: 0.00 eV per formula unit
data_Pm8NdHo2
_chemical_formula_sum 'Pm16 Nd2 Ho4'
_symmetry_space_group_name_H-M 'C 1 2/m 1'
_symmetry_Int_Tables_number 12
_cell_length_a 11.986
_cell_length_b 7.113
_cell_length_c 9.113
_cell_angle_alpha 90.00
_cell_angle_beta 102.58
_cell_angle_gamma 90.00
loop_
_symmetry_equiv_pos_as_xyz
'x,y,z'
'-x,-y,-z'
'-x,y,-z'
'x,-y,z'
'x+1/2,y+1/2,z'
'-x+1/2,-y+1/2,-z'
'-x+1/2,y+1/2,-z'
'x+1/2,-y+1/2,z'
loop_
_atom_site_label
_atom_site_type_symbol
_atom_site_fract_x
_atom_site_fract_y
_atom_site_fract_z
_atom_site_occupancy
Pm1 Pm 0.057 0.224 0.326 1
Pm2 Pm 0.156 0.000 0.002 1
Pm3 Pm 0.208 0.000 0.659 1
Nd1 Nd 0.000 0.500 0.000 1
Ho1 Ho 0.167 0.500 0.651 1

---

# PBE NaMgInTe3, relaxed
# * volume: 36.18 A^3/atom
# * total moment: 0.000 μB/atom
# * calculated density: 4.2 g cm⁻³
# * total energy: -3.14 eV/atom
# * crystal system: monoclinic
# * formation energy (no corrections): -624 meV per atom
data_NaMgInTe3
_chemical_formula_sum 'Na2 Mg2 In2 Te6'
_symmetry_space_group_name_H-M 'P 1 21/m 1'
_symmetry_Int_Tables_number 11
_cell_length_a 8.744
_cell_length_b 4.301
_cell_length_c 12.065
_cell_angle_alpha 90.00
_cell_angle_beta 106.91
_cell_angle_gamma 90.00
loop_
_symmetry_equiv_pos_as_xyz
'x,y,z'
'-x,-y,-z'
'-x,y+1/2,-z'
'x,-y+1/2,z'
loop_
_atom_site_label
_atom_site_type_symbol
_atom_site_fract_x
_atom_site_fract_y
_atom_site_fract_z
_atom_site_occupancy
Na1 Na 0.202 0.250 0.155 1
Mg1 Mg 0.355 0.750 0.910 1
In1 In 0.088 0.250 0.630 1
Te1 Te 0.085 0.250 0.858 1
Te2 Te 0.231 0.750 0.539 1
Te3 Te 0.463 0.750 0.155 1

---

# PBE LaScCl2, relaxed
# * volume: 26.38 A^3/atom
# * total moment: 0.000 μB/atom
# * calculated density: 4.0 g cm⁻³
# * total energy: -5.05 eV/atom
# * crystal system: trigonal
# * formation energy (no corrections): -1314 meV per atom
# * excess energy over the best structure of this formula in the dataset: 0.23 eV per formula unit
data_LaScCl2
_chemical_formula_sum 'La3 Sc3 Cl6'
_symmetry_space_group_name_H-M 'R -3 m'
_symmetry_Int_Tables_number 166
_symmetry_space_group_name_Hall '-R 3 2"'
_cell_length_a 3.6153
_cell_length_b 3.6153
_cell_length_c 27.9673
_cell_angle_alpha 90.00
_cell_angle_beta 90.00
_cell_angle_gamma 120.00
loop_
_atom_site_label
_atom_site_type_symbol
_atom_site_fract_x
_atom_site_fract_y
_atom_site_fract_z
_atom_site_occupancy
La1 La 0.0000 0.0000 0.0000 1
Sc1 Sc 0.0000 0.0000 0.5000 1
Cl1 Cl 0.0000 0.0000 0.4093 1

---

# PBE Mg3BeRe, relaxed
# * volume: 25.45 A^3/atom
# * energy of formation from the pure elements: 1.45 eV per atom
# * total moment: 0.000 μB/atom
# * calculated density: 3.5 g cm⁻³
# * total energy: -2.74 eV/atom
# * crystal system: cubic
# * excess energy over the best structure of this formula in the dataset: 1.76 eV per formula unit
data_Mg3BeRe
_chemical_formula_sum 'Mg3 Be1 Re1'
_symmetry_space_group_name_H-M 'P m -3 m'
_symmetry_Int_Tables_number 221
_symmetry_space_group_name_Hall '-P 4 2 3'
_cell_length_a 5.030
_cell_length_b 5.030
_cell_length_c 5.030
_cell_angle_alpha 90.00
_cell_angle_beta 90.00
_cell_angle_gamma 90.00
loop_
_atom_site_label
_atom_site_type_symbol
_atom_site_fract_x
_atom_site_fract_y
_atom_site_fract_z
_atom_site_occupancy
Mg1 Mg 0.000 0.000 0.500 1
Be1 Be 0.500 0.500 0.500 1
Re1 Re 0.000 0.000 0.000 1

---

# PBE RbHI4, relaxed
# * volume: 45.78 A^3/atom
# * total moment: 0.000 μB/atom
# * calculated density: 3.6 g cm⁻³
# * total energy: -2.21 eV/atom
# * crystal system: monoclinic
data_RbHI4
_chemical_formula_sum 'Rb4 H4 I16'
_symmetry_space_group_name_H-M 'C 1 2/c 1'
_symmetry_Int_Tables_number 15
_cell_length_a 7.264
_cell_length_b 21.083
_cell_length_c 7.434
_cell_angle_alpha 90.00
_cell_angle_beta 105.17
_cell_angle_gamma 90.00
loop_
_symmetry_equiv_pos_as_xyz
'x,y,z'
'-x,-y,-z'
'-x,y,-z+1/2'
'x,-y,z+1/2'
'x+1/2,y+1/2,z'
'-x+1/2,-y+1/2,-z'
'-x+1/2,y+1/2,-z+1/2'
'x+1/2,-y+1/2,z+1/2'
loop_
_atom_site_label
_atom_site_type_symbol
_atom_site_fract_x
_atom_site_fract_y
_atom_site_fract_z
_atom_site_occupancy
Rb1 Rb 0.000 0.104 0.250 1
H1 H 0.000 0.442 0.250 1
I1 I 0.093 0.261 0.593 1
I2 I 0.240 0.060 0.757 1

---

Q: The lowest total energy belongs to which entry?
A: LaScCl2

---

Q: Which value of total moment does entry 4 give?
A: 0.000 μB/atom